! Tb12InRu6 PBE optimized geometry; values from VASP
! DOS(E_F) = 19.72 states/eV/cell
! space group = Im-3
! magnetization = 0.0 μB per cell
! DFT formation energy = -0.29 eV per atom
&SYSTEM
  ibrav = 0, nat = 19, ntyp = 3
/
ATOMIC_SPECIES
Tb 158.93 Tb.upf
In 114.82 In.upf
Ru 101.07 Ru.upf
CELL_PARAMETERS angstrom
-4.938 4.938 4.938
4.938 -4.938 4.938
4.938 4.938 -4.938
ATOMIC_POSITIONS angstrom
Tb 4.938 3.011 -2.012
Tb 2.926 0.000 1.927
Tb 6.950 0.000 1.927
Tb 1.927 2.926 0.000
Tb 3.011 -2.012 4.938
Tb 0.000 1.927 2.926
Tb 4.938 3.011 2.012
Tb 1.927 6.950 0.000
Tb 3.011 2.012 4.938
Tb -2.012 4.938 3.011
Tb 2.012 4.938 3.011
Tb 0.000 1.927 6.950
In 0.000 0.000 0.000
Ru 4.938 1.223 0.000
Ru 4.938 0.000 3.715
Ru 3.715 4.938 0.000
Ru 1.223 0.000 4.938
Ru 0.000 4.938 1.223
Ru 0.000 3.715 4.938